Compound: SmFePO
Source: the Alexandria database
Functional: PBE+U
Structure: optimized geometry

a b c (Å): 4.004 4.004 8.812
angles (deg): 90.00 90.00 90.00
Positions (direct):
Sm  0.250  0.250  0.131
Sm  0.750  0.750  0.869
Fe  0.250  0.750  0.500
Fe  0.750  0.250  0.500
P  0.250  0.250  0.670
P  0.750  0.750  0.330
O  0.250  0.750  0.000
O  0.750  0.250  0.000

The density of states at the Fermi level is 2.00 states/eV/cell. The space group is No. 129. The calculated total energy is -27.125 eV per formula unit.